1.
# MgZnAg14

An optimized crystal structure of MgZnAg14 (GGA-PBE, Alexandria via LeMat-Bulk).

a b c (Å): 9.523 5.887 10.118
angles (deg): 90.00 90.00 90.00
Space group Amm2 (No. 38)
One atom of each set of equivalent atoms:
Mg: 0.000 0.000 0.000 (multiplicity 2)
Zn: 0.000 0.000 0.502 (multiplicity 2)
Ag: 0.000 0.249 0.750 (multiplicity 4)
Ag: 0.246 0.249 0.582 (multiplicity 8)
Ag: 0.247 0.000 0.334 (multiplicity 4)
Ag: 0.251 0.000 0.833 (multiplicity 4)
Ag: 0.500 0.000 0.165 (multiplicity 2)
Ag: 0.500 0.000 0.664 (multiplicity 2)
Ag: 0.500 0.249 0.416 (multiplicity 4)

Output
- Formation enthalpy at 0 K: -0.02 eV per atom
- Spin magnetization: 0.00 μB per cell

2.
# Mg2Zn3Ag7

An optimized crystal structure of Mg2Zn3Ag7 (GGA-PBE, Alexandria via LeMat-Bulk).

a b c (Å): 4.478 3.805 13.373
angles (deg): 90.00 99.11 90.00
Space group P2/m (No. 10)
One atom of each set of equivalent atoms:
Mg: 0.162 0.000 0.320 (multiplicity 2)
Zn: 0.000 0.000 0.000 (multiplicity 1)
Zn: 0.350 0.500 0.701 (multiplicity 2)
Ag: 0.079 0.500 0.155 (multiplicity 2)
Ag: 0.277 0.000 0.558 (multiplicity 2)
Ag: 0.420 0.000 0.841 (multiplicity 2)
Ag: 0.500 0.500 0.000 (multiplicity 1)

Output
- Formation enthalpy at 0 K: 0.01 eV per atom
- Spin magnetization: 0.00 μB per cell

3.
# Mg2ZnAg

An optimized crystal structure of Mg2ZnAg (GGA-PBE, Alexandria via LeMat-Bulk).

a b c (Å): 10.376 3.070 4.901
angles (deg): 90.00 108.37 90.00
Space group Cm (No. 8)
One atom of each set of equivalent atoms:
Mg: 0.000 0.000 0.000 (multiplicity 2)
Mg: 0.216 0.000 0.645 (multiplicity 2)
Zn: 0.248 0.500 0.162 (multiplicity 2)
Ag: 0.466 0.000 0.479 (multiplicity 2)

Output
- Formation enthalpy at 0 K: -0.13 eV per atom
- Spin magnetization: 0.00 μB per cell

4.
# Mg2ZnAg

An optimized crystal structure of Mg2ZnAg (GGA-PBE, Alexandria via LeMat-Bulk).

a b c (Å): 3.9315 3.9315 19.3033
angles (deg): 90.00 90.00 120.00
Space group R3m (No. 160, hexagonal axes)
One atom of each set of equivalent atoms:
Mg: 0.0000 0.0000 0.0000 (multiplicity 3)
Mg: 0.0000 0.0000 0.1737 (multiplicity 3)
Zn: 0.0000 0.0000 0.5852 (multiplicity 3)
Ag: 0.0000 0.0000 0.4230 (multiplicity 3)

Output
- Formation enthalpy at 0 K: 0.10 eV per atom
- Spin magnetization: 0.00 μB per cell

5.
# Mg2ZnAg

An optimized crystal structure of Mg2ZnAg (GGA-PBE, Alexandria via LeMat-Bulk).

a b c (Å): 9.316 3.183 5.264
angles (deg): 90.00 102.91 90.00
Space group C2/m (No. 12)
One atom of each set of equivalent atoms:
Mg: 0.250 0.000 0.246 (multiplicity 4)
Zn: 0.000 0.500 0.000 (multiplicity 2)
Ag: 0.000 0.000 0.500 (multiplicity 2)

Output
- Formation enthalpy at 0 K: -0.05 eV per atom
- Spin magnetization: 0.00 μB per cell

6.
# Mg5Zn12Ag2

An optimized crystal structure of Mg5Zn12Ag2 (GGA-PBE, Alexandria via LeMat-Bulk).

a b c (Å): 14.716 6.920 6.531
angles (deg): 90.00 93.98 90.00
Space group C2/m (No. 12)
One atom of each set of equivalent atoms:
Mg: 0.000 0.000 0.000 (multiplicity 2)
Mg: 0.192 0.500 0.532 (multiplicity 4)
Mg: 0.246 0.000 0.935 (multiplicity 4)
Zn: 0.054 0.500 0.173 (multiplicity 4)
Zn: 0.111 0.302 0.852 (multiplicity 8)
Zn: 0.121 0.000 0.599 (multiplicity 4)
Zn: 0.146 0.186 0.247 (multiplicity 8)
Ag: 0.000 0.286 0.500 (multiplicity 4)

Output
- Formation enthalpy at 0 K: -0.04 eV per atom
- Spin magnetization: 0.00 μB per cell

7.
# MgZnAg2

An optimized crystal structure of MgZnAg2 (GGA-PBE, Alexandria via LeMat-Bulk).

a b c (Å): 2.960 4.524 5.429
angles (deg): 90.00 103.10 90.00
Space group Pm (No. 6)
One atom of each set of equivalent atoms:
Mg: 0.000 0.000 0.000 (multiplicity 1)
Zn: 0.612 0.500 0.228 (multiplicity 1)
Ag: 0.317 0.500 0.716 (multiplicity 1)
Ag: 0.691 0.000 0.479 (multiplicity 1)

Output
- Formation enthalpy at 0 K: -0.10 eV per atom
- Spin magnetization: 0.00 μB per cell

8.
# MgZn3Ag

An optimized crystal structure of MgZn3Ag (GGA-PBE, Alexandria via LeMat-Bulk).

a b c (Å): 4.904 4.904 4.904
angles (deg): 90.00 90.00 90.00
Space group Pm-3m (No. 221)
One atom of each set of equivalent atoms:
Mg: 0.000 0.000 0.000 (multiplicity 1)
Zn: 0.000 0.500 0.500 (multiplicity 3)
Ag: 0.500 0.500 0.500 (multiplicity 1)

Output
- Formation enthalpy at 0 K: 0.38 eV per atom
- Spin magnetization: 0.00 μB per cell
- Energy above the most stable polymorph in this dataset: 445 meV/atom

Copy entry 3 word for word.
# Mg2ZnAg

An optimized crystal structure of Mg2ZnAg (GGA-PBE, Alexandria via LeMat-Bulk).

a b c (Å): 10.376 3.070 4.901
angles (deg): 90.00 108.37 90.00
Space group Cm (No. 8)
One atom of each set of equivalent atoms:
Mg: 0.000 0.000 0.000 (multiplicity 2)
Mg: 0.216 0.000 0.645 (multiplicity 2)
Zn: 0.248 0.500 0.162 (multiplicity 2)
Ag: 0.466 0.000 0.479 (multiplicity 2)

Output
- Formation enthalpy at 0 K: -0.13 eV per atom
- Spin magnetization: 0.00 μB per cell